1.
Density functional theory data (PBE-GGA) for crystalline Mg2CrRe at its relaxed geometry.

extended XYZ file:
```
8
Lattice="3.195 0.000 0.000 0.000 4.691 0.000 0.000 0.000 8.816" Properties=species:S:1:pos:R:3 pbc="T T T"
Mg 0.000 0.000 0.000
Mg 0.000 2.345 1.989
Mg 1.598 0.000 6.396
Mg 1.598 2.345 4.408
Cr 0.000 0.000 4.056
Cr 1.598 2.345 8.463
Re 0.000 2.345 6.808
Re 1.598 0.000 2.401
```

Calculated values
SG = Imm2, No. 44
Energy of formation from the pure elements = 338 meV per atom
V = 16.52 A^3/atom
Uncorrected energy = -47.8 eV for the cell shown
N(E_F) = 5.516 states/eV/cell
Spin magnetization = 0.01 μB per formula unit
Relative energy among the computed polymorphs = 181 meV/atom

***

2.
Density functional theory data (PBE-GGA) for crystalline Ca2CoIr3 at its relaxed geometry.

extended XYZ file:
```
6
Lattice="2.683 1.549 4.193 -2.683 1.549 4.193 0.000 -3.099 4.193" Properties=species:S:1:pos:R:3 pbc="T T T"
Ca 0.000 0.000 1.567
Ca 0.000 0.000 11.012
Co 0.000 0.000 6.289
Ir -1.342 -0.775 4.193
Ir -1.342 0.775 8.386
Ir 0.000 1.549 4.193
```

Calculated values
SG = R-3m, No. 166
Energy of formation from the pure elements = -353 meV per atom
V = 17.43 A^3/atom
Uncorrected energy = -39.8 eV for the cell shown
N(E_F) = 6.971 states/eV/cell
Spin magnetization = 1.21 μB per formula unit

***

3.
Density functional theory data (PBE-GGA) for crystalline Mg2Ti3InS8 at its relaxed geometry.

extended XYZ file:
```
14
Lattice="3.627 2.094 6.337 -3.627 2.094 6.337 0.000 -4.188 6.337" Properties=species:S:1:pos:R:3 pbc="T T T"
Mg 0.000 0.000 2.446
Mg 0.000 0.000 16.566
Ti -1.813 -1.047 6.337
Ti -1.813 1.047 12.675
Ti 0.000 2.094 6.337
In 0.000 0.000 9.506
S 0.000 -1.982 7.754
S -1.717 0.991 7.754
S 0.000 0.000 4.932
S -1.717 -0.991 11.258
S 1.717 0.991 7.754
S 0.000 0.000 14.080
S 1.717 -0.991 11.258
S 0.000 1.982 11.258
```

Calculated values
SG = R-3m, No. 166
V = 20.63 A^3/atom
Uncorrected energy = -79.3 eV for the cell shown
ΔE_f (raw) = -1.1901 eV/atom
N(E_F) = 5.827 states/eV/cell
Spin magnetization = 2.39 μB per formula unit

***

4.
Density functional theory data (PBE-GGA) for crystalline LiLuNi at its relaxed geometry.

extended XYZ file:
```
6
Lattice="3.350 0.000 0.000 0.000 3.350 0.000 0.000 0.000 9.267" Properties=species:S:1:pos:R:3 pbc="T T T"
Li 0.000 0.000 0.000
Li 1.675 1.675 4.634
Lu 0.000 0.000 2.717
Lu 1.675 1.675 7.350
Ni 0.000 0.000 5.926
Ni 1.675 1.675 1.293
```

Calculated values
SG = I4mm, No. 107
Energy of formation from the pure elements = -136 meV per atom
V = 17.33 A^3/atom
Uncorrected energy = -25.2 eV for the cell shown
N(E_F) = 3.960 states/eV/cell
Spin magnetization = 0.00 μB per formula unit

***

5.
Density functional theory data (PBE-GGA) for crystalline Ba7Bi2AuO2 at its relaxed geometry.

extended XYZ file:
```
12
Lattice="-2.687 2.687 15.090 2.687 -2.687 15.090 2.687 2.687 -15.090" Properties=species:S:1:pos:R:3 pbc="T T T"
Ba 0.000 0.000 0.000
Ba 2.687 0.000 2.853
Ba 0.000 0.000 6.083
Ba 2.687 0.000 12.237
Ba 0.000 2.687 2.853
Ba 0.000 0.000 24.096
Ba 0.000 2.687 12.237
Bi 0.000 0.000 9.672
Bi 0.000 0.000 20.508
Au 0.000 0.000 15.090
O 0.000 0.000 2.759
O 0.000 0.000 27.420
```

Calculated values
SG = I4/mmm, No. 139
V = 36.31 A^3/atom
Uncorrected energy = -50.0 eV for the cell shown
ΔE_f (raw) = -1.2994 eV/atom
N(E_F) = 6.326 states/eV/cell
Spin magnetization = 0.58 μB per formula unit

***

6.
Density functional theory data (PBE-GGA) for crystalline Ba2CaNiBi at its relaxed geometry.

extended XYZ file:
```
5
Lattice="5.802 0.000 0.000 0.000 5.802 0.000 0.000 0.000 5.513" Properties=species:S:1:pos:R:3 pbc="T T T"
Ba 0.000 2.901 0.000
Ba 2.901 0.000 0.000
Ca 0.000 0.000 2.757
Ni 0.000 0.000 0.000
Bi 2.901 2.901 2.757
```

Calculated values
SG = P4/mmm, No. 123
Energy of formation from the pure elements = -326 meV per atom
V = 37.12 A^3/atom
Uncorrected energy = -17.1 eV for the cell shown
N(E_F) = 2.261 states/eV/cell
Spin magnetization = 0.00 μB per formula unit

***

7.
Density functional theory data (PBE-GGA) for crystalline CaBePdAu6 at its relaxed geometry.

extended XYZ file:
```
18
Lattice="-3.378 4.513 5.573 3.378 -4.513 5.573 3.378 4.513 -5.573" Properties=species:S:1:pos:R:3 pbc="T T T"
Ca 0.000 2.256 2.412
Ca 3.378 2.256 3.161
Be 0.000 0.000 0.000
Be 0.000 4.513 0.000
Pd 1.689 2.256 -2.787
Pd 1.689 -2.256 2.787
Au 1.924 0.091 1.395
Au 4.831 0.091 1.395
Au 3.378 -2.256 4.927
Au 3.378 2.256 -0.031
Au 1.924 4.604 -1.395
Au 1.454 0.091 4.178
Au 1.924 4.422 1.395
Au 1.454 -0.091 6.969
Au 0.000 2.256 5.605
Au 0.000 6.769 0.647
Au -1.454 4.422 4.178
Au 1.454 4.422 4.178
```

Calculated values
SG = Imma, No. 74
Energy of formation from the pure elements = -182 meV per atom
V = 18.88 A^3/atom
Uncorrected energy = -64.4 eV for the cell shown
N(E_F) = 4.159 states/eV/cell
Spin magnetization = 0.00 μB per formula unit

***

8.
Density functional theory data (PBE-GGA) for crystalline Ba6Sb2AsS at its relaxed geometry.

extended XYZ file:
```
20
Lattice="8.045 0.000 0.000 0.000 9.101 0.000 -8.010 0.000 11.829" Properties=species:S:1:pos:R:3 pbc="T T T"
Ba -2.584 1.726 5.108
Ba -6.589 2.824 11.023
Ba -1.444 6.281 5.149
Ba -5.449 7.370 11.064
Ba 1.088 0.455 2.933
Ba -2.917 4.095 8.848
Ba 2.952 5.006 2.982
Ba -1.053 8.646 8.896
Ba 5.484 1.731 0.766
Ba 1.480 2.820 6.680
Ba 6.624 6.277 0.807
Ba 2.620 7.375 6.721
Sb -4.347 0.880 8.895
Sb -0.343 3.671 2.981
Sb 0.378 5.430 8.849
Sb 4.383 8.221 2.934
As 0.018 0.000 5.915
As 4.022 4.550 0.000
S 0.000 0.000 0.000
S -4.005 4.550 5.915
```

Calculated values
SG = P2_1/c, No. 14
V = 43.30 A^3/atom
Uncorrected energy = -80.7 eV for the cell shown
ΔE_f (raw) = -1.1802 eV/atom
N(E_F) = 8.047 states/eV/cell
Spin magnetization = 1.01 μB per formula unit

***

9.
Density functional theory data (PBE-GGA) for crystalline AcGdSnRh at its relaxed geometry.

extended XYZ file:
```
16
Lattice="7.589 0.000 0.000 0.000 7.589 0.000 0.000 0.000 7.589" Properties=species:S:1:pos:R:3 pbc="T T T"
Ac 0.000 0.000 0.000
Ac 0.000 3.795 3.795
Ac 3.795 0.000 3.795
Ac 3.795 3.795 0.000
Gd 0.000 0.000 3.795
Gd 0.000 3.795 0.000
Gd 3.795 0.000 0.000
Gd 3.795 3.795 3.795
Sn 1.897 1.897 1.897
Sn 1.897 5.692 5.692
Sn 5.692 1.897 5.692
Sn 5.692 5.692 1.897
Rh 1.897 1.897 5.692
Rh 1.897 5.692 1.897
Rh 5.692 1.897 1.897
Rh 5.692 5.692 5.692
```

Calculated values
SG = F-43m, No. 216
Energy of formation from the pure elements = -496 meV per atom
V = 27.32 A^3/atom
Uncorrected energy = -126.1 eV for the cell shown
N(E_F) = 13.614 states/eV/cell
Spin magnetization = 7.02 μB per formula unit

***

10.
Density functional theory data (PBE-GGA) for crystalline Ba3Re2O9 at its relaxed geometry.

extended XYZ file:
```
14
Lattice="2.887 1.667 7.045 -2.887 1.667 7.045 0.000 -3.334 7.045" Properties=species:S:1:pos:R:3 pbc="T T T"
Ba 0.000 0.000 0.000
Ba 0.000 0.000 4.457
Ba 0.000 0.000 16.676
Re 0.000 0.000 8.264
Re 0.000 0.000 12.870
O -1.443 -0.833 7.045
O -1.368 -0.790 11.896
O 0.000 -1.580 9.238
O -1.368 0.790 9.238
O -1.443 0.833 14.089
O 0.000 1.667 7.045
O 1.368 -0.790 11.896
O 0.000 1.580 11.896
O 1.368 0.790 9.238
```

Calculated values
SG = R-3m, No. 166
V = 14.53 A^3/atom
Uncorrected energy = -106.6 eV for the cell shown
ΔE_f (raw) = -2.2369 eV/atom
N(E_F) = 5.049 states/eV/cell
Spin magnetization = 0.00 μB per formula unit
Relative energy among the computed polymorphs = 0 meV/atom

***

11.
Density functional theory data (PBE-GGA) for crystalline Pr8Y3Th2 at its relaxed geometry.

extended XYZ file:
```
13
Lattice="10.542 -3.786 0.000 10.542 3.786 0.000 -0.004 0.000 5.815" Properties=species:S:1:pos:R:3 pbc="T T T"
Pr 8.301 2.218 5.813
Pr 3.668 0.000 2.914
Pr 12.781 2.218 0.002
Pr 7.688 0.000 2.910
Pr 13.393 0.000 2.905
Pr 8.301 -2.218 5.813
Pr 17.414 0.000 2.901
Pr 12.781 -2.218 0.002
Y 10.541 2.098 2.908
Y 10.542 0.000 0.000
Y 10.541 -2.098 2.908
Th 5.429 0.000 0.008
Th 15.653 0.000 5.807
```

Calculated values
SG = C2/m, No. 12
Energy of formation from the pure elements = 245 meV per atom
V = 35.70 A^3/atom
Uncorrected energy = -69.3 eV for the cell shown
N(E_F) = 19.263 states/eV/cell
Spin magnetization = 0.00 μB per formula unit